A plane-wave DFT calculation with PBE was carried out for a geometry-optimized IrPd2Br structure.

Calculated values
raw total energy	-36.3	eV for the cell shown
energy above the lowest structure with this stoichiometry	0.00	kcal/mol of atoms
magnetization	0.00	μB per cell
energy relative to the elements, uncorrected	0.692	eV per atom

a = 5.7983 Å, b = 5.7983 Å, c = 5.7983 Å
α = 102.40°, β = 102.40°, γ = 124.79°
Last column: nearest neighbours and their distance in Å.
Atoms (fractional coordinates):
Ir 0.0000 0.0000 0.0000  4 Pd 2.63, 2 Br 2.69
Ir 0.7500 0.2500 0.5000  4 Pd 2.63, 2 Br 2.69
Pd 0.1204 0.6250 0.9954  2 Ir 2.63, 2 Br 2.68, 2 Pd 2.69
Pd 0.3750 0.3704 0.4954  2 Ir 2.63, 2 Br 2.68, 2 Pd 2.69
Pd 0.6296 0.1250 0.0046  2 Ir 2.63, 2 Br 2.68, 2 Pd 2.69
Pd 0.8750 0.8796 0.5046  2 Ir 2.63, 2 Br 2.68, 2 Pd 2.69
Br 0.2500 0.7500 0.5000  4 Pd 2.68, 2 Ir 2.69
Br 0.5000 0.5000 0.0000  4 Pd 2.68, 2 Ir 2.69


A plane-wave DFT calculation with PBE was carried out for a geometry-optimized Sm4Ho5Sc4 structure.

Calculated values
DFT formation energy	0.047	eV/atom
raw total energy	-66.5	eV for the cell shown
magnetization	0.00	μB per cell

a = 9.1893 Å, b = 9.1893 Å, c = 9.1893 Å
α = 94.11°, β = 94.11°, γ = 148.95°
Last column: nearest neighbours and their distance in Å.
Atoms (fractional coordinates):
Sm 0.0791 0.3798 0.4589  4 Sc 3.40-3.47, 3 Ho 3.45-3.53, 5 Sm 3.54-3.60
Sm 0.3798 0.9209 0.3006  4 Sc 3.40-3.47, 3 Ho 3.45-3.53, 5 Sm 3.54-3.60
Sm 0.6202 0.0791 0.6994  4 Sc 3.40-3.47, 3 Ho 3.45-3.53, 5 Sm 3.54-3.60
Sm 0.9209 0.6202 0.5411  4 Sc 3.40-3.47, 3 Ho 3.45-3.53, 5 Sm 3.54-3.60
Ho 0.0000 0.0000 0.0000  8 Ho 3.46, 4 Sc 3.48
Ho 0.3098 0.5423 0.8521  5 Sc 3.44-3.52, 3 Sm 3.45-3.53, 4 Ho 3.45-3.46
Ho 0.4577 0.3098 0.7675  5 Sc 3.44-3.52, 3 Sm 3.45-3.53, 4 Ho 3.45-3.46
Ho 0.5423 0.6902 0.2325  5 Sc 3.44-3.52, 3 Sm 3.45-3.53, 4 Ho 3.45-3.46
Ho 0.6902 0.4577 0.1479  5 Sc 3.44-3.52, 3 Sm 3.45-3.53, 4 Ho 3.45-3.46
Sc 0.1548 0.7689 0.9237  4 Sm 3.40-3.47, 6 Ho 3.44-3.52, 2 Sc 3.46
Sc 0.2311 0.1548 0.3858  4 Sm 3.40-3.47, 6 Ho 3.44-3.52, 2 Sc 3.46
Sc 0.7689 0.8452 0.6142  4 Sm 3.40-3.47, 6 Ho 3.44-3.52, 2 Sc 3.46
Sc 0.8452 0.2311 0.0763  4 Sm 3.40-3.47, 6 Ho 3.44-3.52, 2 Sc 3.46


A plane-wave DFT calculation with PBE was carried out for a geometry-optimized NaGe structure.

Calculated values
DFT formation energy	-0.013	eV/atom
raw total energy	-23.8	eV for the cell shown
magnetization	0.00	μB per cell

a = 8.8574 Å, b = 8.0289 Å, c = 5.3826 Å
α = 80.02°, β = 63.22°, γ = 36.76°
Last column: nearest neighbours and their distance in Å.
Atoms (fractional coordinates):
Na 0.0384 0.7116 0.0384  8 Ge 3.01-3.36, 3 Na 3.03-3.17
Na 0.2884 0.9616 0.2884  8 Ge 3.01-3.36, 3 Na 3.03-3.17
Na 0.7116 0.0384 0.7116  8 Ge 3.01-3.36, 3 Na 3.03-3.17
Na 0.9616 0.2884 0.9616  8 Ge 3.01-3.36, 3 Na 3.03-3.17
Ge 0.2943 0.2943 0.4557  1 Ge 2.44
Ge 0.4557 0.4557 0.2943  1 Ge 2.44
Ge 0.5443 0.5443 0.7057  1 Ge 2.44
Ge 0.7057 0.7057 0.5443  1 Ge 2.44


A plane-wave DFT calculation with PBE was carried out for a geometry-optimized Ag4I5Cl structure.

Calculated values
raw total energy	-45.4	eV for the cell shown
magnetization	0.00	μB per cell
energy relative to the elements, uncorrected	-0.170	eV per atom

a = 8.4159 Å, b = 12.2026 Å, c = 7.0583 Å
α = 90.00°, β = 90.00°, γ = 90.00°
Last column: nearest neighbours and their distance in Å.
Atoms (fractional coordinates):
Ag 0.0153 0.2500 0.0049  1 Cl 2.49
Ag 0.2500 0.5279 0.5253  5 I 2.84-3.16
Ag 0.2500 0.9721 0.5253  5 I 2.84-3.16
Ag 0.4847 0.2500 0.0049  1 Cl 2.49
Ag 0.5153 0.7500 0.9951  1 Cl 2.49
Ag 0.7500 0.0279 0.4747  5 I 2.84-3.16
Ag 0.7500 0.4721 0.4747  5 I 2.84-3.16
Ag 0.9847 0.7500 0.9951  1 Cl 2.49
I 0.0024 0.0805 0.7255  3 Ag 2.84-2.86
I 0.0024 0.4195 0.7255  3 Ag 2.84-2.86
I 0.2500 0.7500 0.7559  2 Ag 2.80
I 0.4976 0.0805 0.7255  3 Ag 2.84-2.86
I 0.4976 0.4195 0.7255  3 Ag 2.84-2.86
I 0.5024 0.5805 0.2745  3 Ag 2.84-2.86
I 0.5024 0.9195 0.2745  3 Ag 2.84-2.86
I 0.7500 0.2500 0.2441  2 Ag 2.80
I 0.9976 0.5805 0.2745  3 Ag 2.84-2.86
I 0.9976 0.9195 0.2745  3 Ag 2.84-2.86
Cl 0.2500 0.2500 0.2204  2 Ag 2.49
Cl 0.7500 0.7500 0.7796  2 Ag 2.49


A plane-wave DFT calculation with PBE was carried out for a geometry-optimized CsLaW3 structure.

Calculated values
DFT formation energy	3.177	eV/atom
raw total energy	-28.8	eV for the cell shown
energy above the lowest structure with this stoichiometry	0.00	kcal/mol of atoms
magnetization	0.00	μB per cell

a = 5.1423 Å, b = 5.1423 Å, c = 5.1423 Å
α = 90.00°, β = 90.00°, γ = 90.00°
Last column: nearest neighbours and their distance in Å.
Atoms (fractional coordinates):
Cs 0.0000 0.0000 0.0000  12 W 3.64
La 0.5000 0.5000 0.5000  6 W 2.57
W 0.0000 0.5000 0.5000  2 La 2.57
W 0.5000 0.0000 0.5000  2 La 2.57
W 0.5000 0.5000 0.0000  2 La 2.57


A plane-wave DFT calculation with PBE was carried out for a geometry-optimized CdHgSe2 structure.

Calculated values
raw total energy	-38.1	eV for the cell shown
energy above the lowest structure with this stoichiometry	1.89	kcal/mol of atoms
magnetization	0.00	μB per cell
energy relative to the elements, uncorrected	-0.335	eV per atom

a = 7.2150 Å, b = 4.1628 Å, c = 15.5717 Å
α = 90.00°, β = 90.00°, γ = 90.00°
Last column: nearest neighbours and their distance in Å.
Atoms (fractional coordinates):
Cd 0.1600 0.2500 0.0909  3 Se 2.64-2.69
Cd 0.3400 0.7500 0.5909  3 Se 2.64-2.69
Cd 0.6600 0.2500 0.4091  3 Se 2.64-2.69
Cd 0.8400 0.7500 0.9091  3 Se 2.64-2.69
Hg 0.2003 0.7500 0.3344  4 Se 2.66-2.77
Hg 0.2997 0.2500 0.8344  4 Se 2.66-2.77
Hg 0.7003 0.7500 0.1656  4 Se 2.66-2.77
Hg 0.7997 0.2500 0.6656  4 Se 2.66-2.77
Se 0.1836 0.2500 0.6725  2 Hg 2.66-2.77, 2 Cd 2.69
Se 0.2004 0.7500 0.9382  1 Cd 2.64, 2 Hg 2.73
Se 0.2996 0.2500 0.4382  1 Cd 2.64, 2 Hg 2.73
Se 0.3164 0.7500 0.1725  2 Hg 2.66-2.77, 2 Cd 2.69
Se 0.6836 0.2500 0.8275  2 Hg 2.66-2.77, 2 Cd 2.69
Se 0.7004 0.7500 0.5618  1 Cd 2.64, 2 Hg 2.73
Se 0.7996 0.2500 0.0618  1 Cd 2.64, 2 Hg 2.73
Se 0.8164 0.7500 0.3275  2 Hg 2.66-2.77, 2 Cd 2.69


- What is the formula in the first record?
  IrPd2Br


- Which value of raw total energy does entry 4 give?
  -45.4 eV for the cell shown